# W4AuBr | the Alexandria database | GGA-PBE | optimized geometry
data_W4AuBr
_chemical_formula_sum 'W16 Au4 Br4'
_symmetry_space_group_name_H-M 'F -4 3 m'
_symmetry_Int_Tables_number 216
_symmetry_space_group_name_Hall 'F -4 2 3'
_cell_length_a 7.598
_cell_length_b 7.598
_cell_length_c 7.598
_cell_angle_alpha 90.00
_cell_angle_beta 90.00
_cell_angle_gamma 90.00
loop_
_atom_site_label
_atom_site_fract_x
_atom_site_fract_y
_atom_site_fract_z
_atom_site_occupancy
W1 0.124 0.124 0.124 1
Au1 0.250 0.250 0.750 1
Br1 0.000 0.000 0.500 1
# Volume, Å³/cell: 438.6
# N(E_F), states/eV/atom: 0.95
# Final energy, eV for the cell shown: -200.0

# WAu2Br | the Alexandria database | GGA-PBE | optimized geometry
data_WAu2Br
_chemical_formula_sum 'W3 Au6 Br3'
_symmetry_space_group_name_H-M 'R -3 m'
_symmetry_Int_Tables_number 166
_symmetry_space_group_name_Hall '-R 3 2"'
_cell_length_a 3.0079
_cell_length_b 3.0079
_cell_length_c 29.3972
_cell_angle_alpha 90.00
_cell_angle_beta 90.00
_cell_angle_gamma 120.00
loop_
_atom_site_label
_atom_site_fract_x
_atom_site_fract_y
_atom_site_fract_z
_atom_site_occupancy
W1 0.0000 0.0000 0.0000 1
Au1 0.0000 0.0000 0.2580 1
Br1 0.0000 0.0000 0.5000 1
# Volume, Å³/cell: 230.3
# N(E_F), states/eV/atom: 0.89
# Energy relative to the lowest polymorph listed for this composition, kJ/mol of formula units: 60.2

# WAu2Br | the Alexandria database | GGA-PBE | optimized geometry
data_WAu2Br
_chemical_formula_sum 'W4 Au8 Br4'
_symmetry_space_group_name_H-M 'I -4 2 d'
_symmetry_Int_Tables_number 122
_symmetry_space_group_name_Hall 'I -4 2bw'
_cell_length_a 8.001
_cell_length_b 8.001
_cell_length_c 5.406
_cell_angle_alpha 90.00
_cell_angle_beta 90.00
_cell_angle_gamma 90.00
loop_
_atom_site_label
_atom_site_fract_x
_atom_site_fract_y
_atom_site_fract_z
_atom_site_occupancy
W1 0.000 0.000 0.000 1
Au1 0.216 0.250 0.125 1
Br1 0.000 0.000 0.500 1
# Volume, Å³/cell: 346.1
# N(E_F), states/eV/atom: 0.74
# Energy relative to the lowest polymorph listed for this composition, kJ/mol of formula units: 217.0

# WAu2Br | the Alexandria database | GGA-PBE | optimized geometry
data_WAu2Br
_chemical_formula_sum 'W1 Au2 Br1'
_symmetry_space_group_name_H-M 'P 4 m m'
_symmetry_Int_Tables_number 99
_cell_length_a 3.013
_cell_length_b 3.013
_cell_length_c 8.740
_cell_angle_alpha 90.00
_cell_angle_beta 90.00
_cell_angle_gamma 90.00
loop_
_symmetry_equiv_pos_as_xyz
'x,y,z'
'-y,x,z'
'-x,-y,z'
'y,-x,z'
'-x,y,z'
'y,x,z'
'x,-y,z'
'-y,-x,z'
loop_
_atom_site_label
_atom_site_fract_x
_atom_site_fract_y
_atom_site_fract_z
_atom_site_occupancy
W1 0.000 0.000 0.000 1
Au1 0.000 0.000 0.442 1
Au2 0.500 0.500 0.211 1
Br1 0.500 0.500 0.807 1
# Volume, Å³/cell: 79.3
# N(E_F), states/eV/atom: 0.83
# Energy relative to the lowest polymorph listed for this composition, kJ/mol of formula units: 50.3

# WAu2Br | the Alexandria database | GGA-PBE | optimized geometry
data_WAu2Br
_chemical_formula_sum 'W1 Au2 Br1'
_symmetry_space_group_name_H-M 'P 4/m m m'
_symmetry_Int_Tables_number 123
_symmetry_space_group_name_Hall '-P 4 2'
_cell_length_a 5.394
_cell_length_b 5.394
_cell_length_c 2.707
_cell_angle_alpha 90.00
_cell_angle_beta 90.00
_cell_angle_gamma 90.00
loop_
_atom_site_label
_atom_site_fract_x
_atom_site_fract_y
_atom_site_fract_z
_atom_site_occupancy
W1 0.000 0.000 0.000 1
Au1 0.000 0.500 0.500 1
Br1 0.500 0.500 0.000 1
# Volume, Å³/cell: 78.8
# N(E_F), states/eV/atom: 1.07
# Energy relative to the lowest polymorph listed for this composition, kJ/mol of formula units: 252.1

# WAu2Br | the Alexandria database | GGA-PBE | optimized geometry
data_WAu2Br
_chemical_formula_sum 'W2 Au4 Br2'
_symmetry_space_group_name_H-M 'C m m m'
_symmetry_Int_Tables_number 65
_symmetry_space_group_name_Hall '-C 2 2'
_cell_length_a 5.421
_cell_length_b 9.524
_cell_length_c 2.898
_cell_angle_alpha 90.00
_cell_angle_beta 90.00
_cell_angle_gamma 90.00
loop_
_atom_site_label
_atom_site_fract_x
_atom_site_fract_y
_atom_site_fract_z
_atom_site_occupancy
W1 0.000 0.000 0.000 1
Au1 0.250 0.250 0.500 1
Br1 0.000 0.500 0.000 1
# Volume, Å³/cell: 149.6
# N(E_F), states/eV/atom: 0.91
# Energy relative to the lowest polymorph listed for this composition, kJ/mol of formula units: 186.1

# WAu2Br | the Alexandria database | GGA-PBE | optimized geometry
data_WAu2Br
_chemical_formula_sum 'W1 Au2 Br1'
_symmetry_space_group_name_H-M 'P 1 m 1'
_symmetry_Int_Tables_number 6
_cell_length_a 2.956
_cell_length_b 3.015
_cell_length_c 9.375
_cell_angle_alpha 90.00
_cell_angle_beta 98.94
_cell_angle_gamma 90.00
loop_
_symmetry_equiv_pos_as_xyz
'x,y,z'
'x,-y,z'
loop_
_atom_site_label
_atom_site_fract_x
_atom_site_fract_y
_atom_site_fract_z
_atom_site_occupancy
W1 0.000 0.000 0.000 1
Au1 0.211 0.000 0.428 1
Au2 0.602 0.500 0.207 1
Br1 0.893 0.500 0.784 1
# Volume, Å³/cell: 82.5
# N(E_F), states/eV/atom: 0.44
# Energy relative to the lowest polymorph listed for this composition, kJ/mol of formula units: 12.3

# YAu2Br | the Alexandria database | GGA-PBE | optimized geometry
data_YAu2Br
_chemical_formula_sum 'Y4 Au8 Br4'
_symmetry_space_group_name_H-M 'I -4 2 d'
_symmetry_Int_Tables_number 122
_symmetry_space_group_name_Hall 'I -4 2bw'
_cell_length_a 8.419
_cell_length_b 8.419
_cell_length_c 5.591
_cell_angle_alpha 90.00
_cell_angle_beta 90.00
_cell_angle_gamma 90.00
loop_
_atom_site_label
_atom_site_fract_x
_atom_site_fract_y
_atom_site_fract_z
_atom_site_occupancy
Y1 0.000 0.000 0.000 1
Au1 0.238 0.750 0.125 1
Br1 0.000 0.000 0.500 1
# Volume, Å³/cell: 396.3
# N(E_F), states/eV/atom: 0.12
# Energy relative to the lowest polymorph listed for this composition, kJ/mol of formula units: 52.2